(1)
AgP2HCl | the Alexandria database | PBE | relaxed; total moment = 0.00 μB/f.u.; energy above the lowest structure with this stoichiometry = 0.000 eV/atom; V = 96.9 Å³/f.u.
1.0
3.606 0.000 0.000
0.000 3.606 0.000
0.000 0.000 7.450
Ag P H Cl
1 2 1 1
Direct
0.000 0.000 0.000
0.000 0.500 0.500
0.500 0.000 0.500
0.500 0.500 0.500
0.500 0.500 0.000

=====

(2)
Ce4P2AuS | the Alexandria database | PBE | relaxed; formation energy from raw total energies = -1038 kJ/mol of formula units; total moment = 3.69 μB/f.u.; V = 200.4 Å³/f.u.
1.0
7.191 0.000 0.000
0.000 4.078 0.000
-2.343 0.000 6.834
Ce P Au S
4 2 1 1
Direct
0.237 0.000 0.235
0.244 0.500 0.760
0.756 0.500 0.240
0.763 0.000 0.765
0.000 0.500 0.000
0.500 0.000 0.000
0.500 0.500 0.500
0.000 0.000 0.500

=====

(3)
Li2Dy3In5 | the Alexandria database | PBE | relaxed; total moment = 0.00 μB/f.u.; energy of formation = -0.375 eV/atom; V = 234.4 Å³/f.u.
1.0
10.332 0.000 0.000
0.000 10.332 0.000
0.000 0.000 4.392
Li Dy In
4 6 10
Direct
0.120 0.380 0.000
0.380 0.880 0.000
0.620 0.120 0.000
0.880 0.620 0.000
0.000 0.000 0.000
0.174 0.674 0.000
0.326 0.174 0.000
0.500 0.500 0.000
0.674 0.826 0.000
0.826 0.326 0.000
0.000 0.500 0.500
0.075 0.212 0.500
0.212 0.925 0.500
0.288 0.425 0.500
0.425 0.712 0.500
0.500 0.000 0.500
0.575 0.288 0.500
0.712 0.575 0.500
0.788 0.075 0.500
0.925 0.788 0.500

=====

Question: Which value of V does entry 1 give?
Answer: 96.9 Å³/f.u.

=====

Question: Which formula does entry 3 have?
Answer: Li2Dy3In5

=====

Question: Which of these has the highest V?
Answer: Li2Dy3In5